VASP calculation (PBE+U) on an optimized crystal structure of InFeBiO4.

Cell: 5.8162 5.8162 7.0318 Å, 90.00 90.00 114.55°
Last column: nearest neighbours and their distance in Å.
Element x y z (fractional)
O 0.7400 0.2600 0.9957  1 Fe 1.97, 1 In 2.06
O 0.7628 0.7683 0.7500  1 In 2.14, 1 Fe 2.15
O 0.2372 0.2317 0.2500  1 In 2.14, 1 Fe 2.15
O 0.2600 0.7400 0.4957  1 Fe 1.97, 1 In 2.06
O 0.7400 0.2600 0.5043  1 Fe 1.97, 1 In 2.06
O 0.7683 0.7628 0.2500  1 In 2.14, 1 Fe 2.15
O 0.2317 0.2372 0.7500  1 In 2.14, 1 Fe 2.15
O 0.2600 0.7400 0.0043  1 Fe 1.97, 1 In 2.06
In 0.8448 0.1552 0.2500  4 O 2.06-2.14
In 0.1552 0.8448 0.7500  4 O 2.06-2.14
Fe 0.1631 0.8369 0.2500  4 O 1.97-2.15
Fe 0.8369 0.1631 0.7500  4 O 1.97-2.15
Bi 0.5000 0.5000 0.0000  6 O 2.35-2.42
Bi 0.5000 0.5000 0.5000  6 O 2.35-2.42

Values from the calculation:
DFT total energy: -5.860 eV/atom
total moment: 8.0 μB per cell